DFT (PBE) results for a geometry-optimized CeTh2Pd structure.

Properties
SG: No. 166
D(E_F), states/eV per atom: 1.596
Offset from the most stable computed form, meV per atom: 357
Formation enthalpy at 0 K, eV/atom: 0.0256
Volume, Å³ per cell: 110.7
Calculated total energy, eV/atom: -6.466

abc: 11.1542 11.1542 11.1542
angles: 17.59 17.59 17.59
Sites, in units of the cell vectors:
Ce (0.0000, 0.0000, 0.0000)
Th (0.0968, 0.0968, 0.0968)
Th (0.9032, 0.9032, 0.9032)
Pd (0.5000, 0.5000, 0.5000)



DFT (PBE) results for a geometry-optimized ErPuZr2N4 structure.

Properties
SG: No. 10
D(E_F), states/eV per atom: 0.974
Volume, Å³ per cell: 106.3
Uncorrected formation energy, meV/atom: -1642.1
Calculated total energy, eV/atom: -10.304

abc: 5.7771 3.3454 5.8284
angles: 90.00 109.29 90.00
Sites, in units of the cell vectors:
Er (0.0000, 0.0000, 0.0000)
Pu (0.5000, 0.5000, 0.0000)
Zr (0.0000, 0.5000, 0.5000)
Zr (0.5000, 0.0000, 0.5000)
N (0.2450, 0.0000, 0.7367)
N (0.2534, 0.5000, 0.2640)
N (0.7466, 0.5000, 0.7360)
N (0.7550, 0.0000, 0.2633)



DFT (PBE) results for a geometry-optimized SrZn2Cr structure.

Properties
SG: No. 99
D(E_F), states/eV per atom: 0.491
Formation enthalpy at 0 K, eV/atom: 0.2904
Volume, Å³ per cell: 89.6
Calculated total energy, eV/atom: -3.173

abc: 3.5429 3.5429 7.1373
angles: 90.00 90.00 90.00
Sites, in units of the cell vectors:
Sr (0.0000, 0.0000, 0.0000)
Zn (0.0000, 0.0000, 0.5118)
Zn (0.5000, 0.5000, 0.2997)
Cr (0.5000, 0.5000, 0.6658)